A plane-wave DFT calculation with PBE was carried out for crystalline EuCr2As2 at its relaxed geometry.

Cell lengths 4.0509, 4.0509, 11.7799 Å; angles 90.00, 90.00, 90.00 degrees
Space group I4/mmm (No. 139)
One atom of each set of equivalent atoms:
Eu 0.0000 0.0000 0.0000 x2
Cr 0.0000 0.5000 0.2500 x4
As 0.0000 0.0000 0.3652 x4

DOS(E_F): 16.20 states/eV/cell
ΔH_f (0 K): -0.475 eV/atom
spin magnetization: 2.306 μB/atom
crystal system: tetragonal
total DFT energy (no corrections): -8.239 eV/atom

A plane-wave DFT calculation with PBE was carried out for crystalline EuCrAs2 at its relaxed geometry.

Cell lengths 3.9676, 3.9676, 18.7141 Å; angles 90.00, 90.00, 120.00 degrees
Space group R-3m (No. 166, hexagonal axes)
One atom of each set of equivalent atoms:
Eu 0.0000 0.0000 0.0000 x3
Cr 0.0000 0.0000 0.5000 x3
As 0.0000 0.0000 0.2309 x6

DOS(E_F): 13.94 states/eV/cell
ΔH_f (0 K): -0.633 eV/atom
spin magnetization: 2.309 μB/atom
crystal system: trigonal
total DFT energy (no corrections): -7.932 eV/atom